(1)
! TbGa2Au PBE relaxed; values from VASP
&SYSTEM
  ibrav = 0, nat = 16, ntyp = 3
/
ATOMIC_SPECIES
Tb 158.93 Tb.upf
Ga 69.72 Ga.upf
Au 196.97 Au.upf
ATOMIC_POSITIONS crystal
Tb 0.027 0.250 0.147
Tb 0.473 0.750 0.647
Tb 0.527 0.250 0.353
Tb 0.973 0.750 0.853
Ga 0.207 0.048 0.593
Ga 0.207 0.452 0.593
Ga 0.293 0.548 0.093
Ga 0.293 0.952 0.093
Ga 0.707 0.048 0.907
Ga 0.707 0.452 0.907
Ga 0.793 0.548 0.407
Ga 0.793 0.952 0.407
Au 0.068 0.750 0.349
Au 0.432 0.250 0.849
Au 0.568 0.750 0.151
Au 0.932 0.250 0.651
CELL_PARAMETERS angstrom
8.212 0.000 0.000
0.000 6.746 0.000
0.000 0.000 5.861
! E_form = -0.58 eV/atom
! SG = Pnma
! DFT total energy = -4.072 eV per atom

***

(2)
! Tb5Ga2Au2 PBE relaxed; values from VASP
&SYSTEM
  ibrav = 0, nat = 18, ntyp = 3
/
ATOMIC_SPECIES
Tb 158.93 Tb.upf
Ga 69.72 Ga.upf
Au 196.97 Au.upf
ATOMIC_POSITIONS crystal
Tb 0.000 0.000 0.000
Tb 0.040 0.682 0.671
Tb 0.182 0.540 0.171
Tb 0.318 0.960 0.671
Tb 0.460 0.818 0.171
Tb 0.500 0.500 0.500
Tb 0.540 0.182 0.829
Tb 0.682 0.040 0.329
Tb 0.818 0.460 0.829
Tb 0.960 0.318 0.329
Ga 0.120 0.880 0.381
Ga 0.380 0.620 0.881
Ga 0.620 0.380 0.119
Ga 0.880 0.120 0.619
Au 0.208 0.208 0.000
Au 0.292 0.292 0.500
Au 0.708 0.708 0.500
Au 0.792 0.792 0.000
CELL_PARAMETERS angstrom
7.925 -3.806 0.000
7.925 3.806 0.000
0.000 0.000 7.586
! E_form = -0.65 eV/atom
! SG = Cmce
! DFT total energy = -4.627 eV per atom

***

(3)
! Tb5GaAu4 PBE relaxed; values from VASP
&SYSTEM
  ibrav = 0, nat = 10, ntyp = 3
/
ATOMIC_SPECIES
Tb 158.93 Tb.upf
Ga 69.72 Ga.upf
Au 196.97 Au.upf
ATOMIC_POSITIONS crystal
Tb 0.000 0.000 0.000
Tb 0.000 0.000 0.201
Tb 0.000 0.000 0.401
Tb 0.000 0.000 0.599
Tb 0.000 0.000 0.799
Ga 0.500 0.500 0.500
Au 0.500 0.500 0.099
Au 0.500 0.500 0.302
Au 0.500 0.500 0.698
Au 0.500 0.500 0.901
CELL_PARAMETERS angstrom
3.597 0.000 0.000
0.000 3.597 0.000
0.000 0.000 18.194
! E_form = -0.80 eV/atom
! SG = P4/mmm
! DFT total energy = -4.724 eV per atom

***

(4)
! TbGaAu PBE relaxed; values from VASP
&SYSTEM
  ibrav = 0, nat = 6, ntyp = 3
/
ATOMIC_SPECIES
Tb 158.93 Tb.upf
Ga 69.72 Ga.upf
Au 196.97 Au.upf
ATOMIC_POSITIONS crystal
Tb 0.039 0.039 0.299
Tb 0.961 0.961 0.701
Ga 0.343 0.343 0.898
Ga 0.657 0.657 0.102
Au 0.323 0.323 0.284
Au 0.677 0.677 0.716
CELL_PARAMETERS angstrom
5.269 -2.251 0.000
5.269 2.251 0.000
-4.795 0.000 5.362
! E_form = -0.79 eV/atom
! SG = C2/m
! DFT total energy = -4.436 eV per atom

***

(5)
! Tb3Ga2Au4 PBE relaxed; values from VASP
&SYSTEM
  ibrav = 0, nat = 9, ntyp = 3
/
ATOMIC_SPECIES
Tb 158.93 Tb.upf
Ga 69.72 Ga.upf
Au 196.97 Au.upf
ATOMIC_POSITIONS crystal
Tb 0.000 0.000 0.000
Tb 0.348 0.348 0.318
Tb 0.652 0.652 0.682
Ga 0.361 0.361 0.689
Ga 0.639 0.639 0.311
Au 0.078 0.078 0.401
Au 0.285 0.285 0.934
Au 0.715 0.715 0.066
Au 0.922 0.922 0.599
CELL_PARAMETERS angstrom
5.355 -2.293 0.000
5.355 2.293 0.000
-3.766 0.000 7.871
! E_form = -0.81 eV/atom
! SG = C2/m
! DFT total energy = -4.478 eV per atom

***

(6)
! TbGaAu3 PBE relaxed; values from VASP
&SYSTEM
  ibrav = 0, nat = 10, ntyp = 3
/
ATOMIC_SPECIES
Tb 158.93 Tb.upf
Ga 69.72 Ga.upf
Au 196.97 Au.upf
ATOMIC_POSITIONS crystal
Tb 0.188 0.250 0.183
Tb 0.812 0.750 0.817
Ga 0.079 0.750 0.349
Ga 0.921 0.250 0.651
Au 0.316 0.002 0.650
Au 0.316 0.498 0.650
Au 0.339 0.750 0.044
Au 0.661 0.250 0.956
Au 0.684 0.502 0.350
Au 0.684 0.998 0.350
CELL_PARAMETERS angstrom
5.527 0.000 0.000
0.000 5.939 0.000
-0.778 0.000 6.143
! E_form = -0.58 eV/atom
! E above lowest polymorph = 0.016 eV per atom
! SG = P2_1/m
! DFT total energy = -4.081 eV per atom

***

Q: Which of these has the highest DFT total energy?
A: TbGa2Au

***

Q: What is the formula in the sixth record?
A: TbGaAu3

***

Q: What is the formula in the fifth record?
A: Tb3Ga2Au4

***

Q: E_form of number 5 (Tb3Ga2Au4)?
A: -0.81 eV/atom